# 1
The following is a PBE calculation of AlCoSn3 after structural relaxation, from Alexandria via LeMat-Bulk.

Values from the calculation:
- magnetic moment (μB/cell) = 0.00
- E_form (eV/f.u.) = 1.191
- energy above the lowest structure with this stoichiometry (meV/atom) = 0
- final energy (eV/atom) = -4.33

abc: 4.941 4.941 4.941
angles: 90.00 90.00 90.00
Fractional positions:
Co 0.000 0.000 0.000
Sn 0.000 0.500 0.000
Sn 0.000 0.000 0.500
Sn 0.500 0.000 0.000
Al 0.500 0.500 0.500

=====

# 2
The following is a PBE calculation of Al2Co2Sn after structural relaxation, from Alexandria via LeMat-Bulk.

Values from the calculation:
- magnetic moment (μB/cell) = 0.00
- E_form (eV/f.u.) = -0.400
- energy above the lowest structure with this stoichiometry (meV/atom) = 116
- final energy (eV/atom) = -5.22

abc: 7.245 7.245 2.755
angles: 90.00 90.00 90.00
Fractional positions:
Co 0.162 0.662 0.500
Co 0.662 0.838 0.500
Co 0.838 0.338 0.500
Co 0.338 0.162 0.500
Sn 0.000 0.000 0.000
Sn 0.500 0.500 0.000
Al 0.371 0.871 0.000
Al 0.871 0.629 0.000
Al 0.629 0.129 0.000
Al 0.129 0.371 0.000